This record from Alexandria via LeMat-Bulk describes a relaxed CeNiB crystal. The functional is PBE-GGA.

Lattice parameters (Å, degrees): 3.1307 3.7026 8.2580 101.42 90.00 90.00
Closest atoms and distances in Å follow each position.
Element x y z (fractional)
B 0.2500 0.0153 0.0326  2 B 1.65
B 0.7500 0.9847 0.9674  2 B 1.65
Ni 0.2500 0.7511 0.4967  4 Ni 2.41-2.44
Ni 0.7500 0.2489 0.5033  4 Ni 2.41-2.44
Ce 0.2500 0.4049 0.7846  6 B 2.73-2.84, 4 Ni 2.77-3.04
Ce 0.7500 0.5951 0.2154  6 B 2.73-2.84, 4 Ni 2.77-3.04

Properties
N(E_F), states/eV per cell: 8.887
Energy relative to the lowest polymorph listed for this composition, meV per atom: 58.1
SG: P2_1/m
Calculated volume, Å³ per atom: 15.638
Formation enthalpy at 0 K, meV/atom: -243